(1)
La2CdPt2 (GGA-PBE, relaxed); SG = I4/mmm; V = 272.2 Å³ per cell; total DFT energy (no corrections) = -52.38 eV per cell; DOS(E_F) = 6.022 states/eV/cell
1.0
4.080 0.000 0.000
0.000 4.080 0.000
0.000 0.000 16.350
La Cd Pt
4 2 4
Cartesian
0.000 0.000 1.979
0.000 0.000 14.371
2.040 2.040 6.196
2.040 2.040 10.154
0.000 0.000 8.175
2.040 2.040 0.000
0.000 2.040 4.088
0.000 2.040 12.263
2.040 0.000 4.088
2.040 0.000 12.263

=====

(2)
Cs3Sb2PbO6 (GGA-PBE, relaxed); SG = P-3m1; V = 296.2 Å³ per cell; E_form (uncorrected) = -1370.0 meV per atom; DOS(E_F) = 3.673 states/eV/cell
1.0
6.515 0.000 0.000
-3.257 5.642 0.000
0.000 0.000 8.059
Cs Sb Pb O
3 2 1 6
Cartesian
0.000 0.000 0.000
0.000 3.761 5.352
3.257 1.881 2.707
0.000 3.761 1.703
3.257 1.881 6.356
0.000 0.000 4.029
0.000 1.970 2.496
-1.551 4.657 2.496
1.706 0.985 5.563
1.551 4.657 2.496
4.809 0.985 5.563
3.257 3.672 5.563

=====

(3)
LaMoPt2 (GGA-PBE, relaxed); SG = R-3m; V = 269.7 Å³ per cell; total DFT energy (no corrections) = -89.60 eV per cell; DOS(E_F) = 9.726 states/eV/cell
1.0
4.468 0.000 0.000
-2.234 3.870 0.000
0.000 0.000 15.596
La Mo Pt
3 3 6
Cartesian
0.000 0.000 0.000
0.000 2.580 10.397
2.234 1.290 5.199
0.000 0.000 7.798
0.000 2.580 2.599
2.234 1.290 12.997
0.000 0.000 3.153
0.000 0.000 12.443
0.000 2.580 7.244
0.000 2.580 13.551
2.234 1.290 2.045
2.234 1.290 8.352